No. 1
Computed, not measured: LiCuGeW after structural relaxation at the GGA-PBE level of DFT.

Calculated values
DFT total energy = -5.38 eV per atom

Cell and atoms, written as CIF:
```
data_LiCuGeW
_symmetry_space_group_name_H-M 'F -4 3 m'
_symmetry_Int_Tables_number 216
_symmetry_space_group_name_Hall 'F -4 2 3'
_cell_length_a 6.034
_cell_length_b 6.034
_cell_length_c 6.034
_cell_angle_alpha 90.00
_cell_angle_beta 90.00
_cell_angle_gamma 90.00
loop_
_atom_site_label
_atom_site_fract_x
_atom_site_fract_y
_atom_site_fract_z
_atom_site_occupancy
Li1 0.000 0.000 0.000 1
Cu1 0.250 0.250 0.750 1
Ge1 0.000 0.000 0.500 1
W1 0.250 0.250 0.250 1
```

=====

No. 2
Computed, not measured: Li4ZnCuGe2 after structural relaxation at the GGA-PBE level of DFT.

Calculated values
DFT total energy = -3.07 eV per atom

Cell and atoms, written as CIF:
```
data_Li4ZnCuGe2
_symmetry_space_group_name_H-M 'P -4 m 2'
_symmetry_Int_Tables_number 115
_cell_length_a 4.263
_cell_length_b 4.263
_cell_length_c 6.027
_cell_angle_alpha 90.00
_cell_angle_beta 90.00
_cell_angle_gamma 90.00
loop_
_symmetry_equiv_pos_as_xyz
'x,y,z'
'y,-x,-z'
'-x,-y,z'
'-y,x,-z'
'-x,y,z'
'-y,-x,-z'
'x,-y,z'
'y,x,-z'
loop_
_atom_site_label
_atom_site_fract_x
_atom_site_fract_y
_atom_site_fract_z
_atom_site_occupancy
Li1 0.000 0.000 0.000 1
Li2 0.000 0.500 0.243 1
Li3 0.500 0.500 0.500 1
Zn1 0.000 0.000 0.500 1
Cu1 0.500 0.500 0.000 1
Ge1 0.000 0.500 0.759 1
```

=====

DFT total energy of number 2 (Li4ZnCuGe2)? -3.07 eV per atom